The following is a GGA-PBE calculation of Gd2NpN after structural relaxation, from Alexandria via LeMat-Bulk.

The structure in POSCAR format:
```
Gd2NpN
1.0
3.3992 0.0000 0.0000
-1.6996 2.9438 0.0000
0.0000 0.0000 28.8524
Gd Np N
6 3 3
Cartesian
0.0000 0.0000 3.4211
0.0000 0.0000 25.4313
0.0000 1.9626 15.8138
0.0000 1.9626 22.6561
1.6996 0.9813 6.1963
1.6996 0.9813 13.0386
0.0000 0.0000 0.0000
0.0000 1.9626 19.2350
1.6996 0.9813 9.6175
0.0000 0.0000 14.4262
0.0000 1.9626 4.8087
1.6996 0.9813 24.0437
```

Results
Space-group type ... R-3m, No. 166
Total energy ... -12.6895 eV per atom